Density functional theory data (PBE) for a relaxed structure of TePdO3.

Unit cell a=3.986 b=3.986 c=3.986 alpha=90.00 beta=90.00 gamma=90.00
Fractional coordinates of all 5 atoms:
Te 0.500 0.500 0.500
O 0.000 0.500 0.000
O 0.000 0.000 0.500
O 0.500 0.000 0.000
Pd 0.000 0.000 0.000

Properties
Crystal system: cubic
Uncorrected energy in eV per cell: -22.96


Density functional theory data (PBE) for a relaxed structure of TePd2O.

Unit cell a=4.441 b=4.441 c=4.441 alpha=60.00 beta=60.00 gamma=60.00
Fractional coordinates of all 4 atoms:
Te 0.500 0.500 0.500
O 0.000 0.000 0.000
Pd 0.250 0.250 0.250
Pd 0.750 0.750 0.750

Properties
Crystal system: cubic
Excess energy over the best structure of this formula in the dataset in eV per atom: 0.0436


Density functional theory data (PBE) for a relaxed structure of TePdO3.

Unit cell a=5.306 b=8.101 c=11.260 alpha=139.45 beta=90.00 gamma=90.00
Fractional coordinates of all 20 atoms:
Te 0.271 0.506 0.415
Te 0.729 0.494 0.585
Te 0.771 0.994 0.085
Te 0.229 0.006 0.915
Pd 0.777 0.075 0.578
Pd 0.223 0.925 0.422
Pd 0.277 0.425 0.922
Pd 0.723 0.575 0.078
O 0.061 0.723 0.663
O 0.939 0.277 0.337
O 0.561 0.777 0.837
O 0.439 0.223 0.163
O 0.597 0.689 0.554
O 0.403 0.311 0.446
O 0.097 0.811 0.946
O 0.903 0.189 0.054
O 0.117 0.671 0.167
O 0.883 0.329 0.833
O 0.617 0.829 0.333
O 0.383 0.171 0.667

Properties
Crystal system: monoclinic
Uncorrected energy in eV per cell: -104.16


Density functional theory data (PBE) for a relaxed structure of Tl2TePdO6.

Unit cell a=5.436 b=6.179 c=6.179 alpha=120.00 beta=90.00 gamma=90.00
Fractional coordinates of all 10 atoms:
Tl 0.310 0.333 0.667
Tl 0.690 0.667 0.333
Te 0.000 0.000 0.000
Pd 0.500 0.000 0.000
O 0.760 0.140 0.279
O 0.760 0.140 0.860
O 0.760 0.721 0.860
O 0.240 0.860 0.140
O 0.240 0.279 0.140
O 0.240 0.860 0.721

Properties
Crystal system: trigonal
Uncorrected energy in eV per cell: -49.71


Total magnetic moment for the records above, in order: 0.000; 0.000; 0.000; 0.000 μB per atom